[1]
Here is CuNiI2N after structural relaxation from Alexandria. Energies are from PBE.

extended XYZ file:
```
5
Lattice="5.4946 0.0000 0.0000 0.0000 5.4946 0.0000 0.0000 0.0000 3.4821" Properties=species:S:1:pos:R:3 pbc="T T T"
Cu 0.0000 0.0000 0.0000
Ni 2.7473 2.7473 1.7410
I 0.0000 2.7473 1.7410
I 2.7473 0.0000 1.7410
N 2.7473 2.7473 0.0000
```

## Properties
The calculated volume is 105 Å³/cell. As for the spin magnetization: 0.000 μB per formula unit. The distance to the lowest polymorph of the same formula comes out at 0.0 meV per atom. The uncorrected formation energy comes out at 3.571 eV/f.u. Its total DFT energy (no corrections) is -17.732 eV/cell.

=====

[2]
Here is CuNiIN2 after structural relaxation from Alexandria. Energies are from PBE.

extended XYZ file:
```
5
Lattice="3.6101 0.0000 0.0000 0.0000 3.6101 0.0000 0.0000 0.0000 7.7648" Properties=species:S:1:pos:R:3 pbc="T T T"
Cu 0.0000 0.0000 0.0000
Ni 1.8051 1.8051 3.8824
I 1.8051 1.8051 0.0000
N 0.0000 1.8051 3.8824
N 1.8051 0.0000 3.8824
```

## Properties
The calculated volume is 101 Å³/cell. As for the spin magnetization: 0.261 μB per formula unit. The distance to the lowest polymorph of the same formula comes out at 0.0 meV per atom. The uncorrected formation energy comes out at 6.030 eV/f.u. Its total DFT energy (no corrections) is -22.048 eV/cell.

=====

[3]
Here is CuNiIN2 after structural relaxation from Alexandria. Energies are from PBE.

extended XYZ file:
```
5
Lattice="3.6978 0.0000 0.0000 0.0000 3.6978 0.0000 0.0000 0.0000 6.8819" Properties=species:S:1:pos:R:3 pbc="T T T"
Cu 0.0000 0.0000 0.0000
Ni 1.8489 1.8489 3.4410
I 0.0000 0.0000 3.4410
N 0.0000 1.8489 0.0000
N 1.8489 0.0000 0.0000
```

## Properties
The calculated volume is 94 Å³/cell. As for the spin magnetization: 3.680 μB per formula unit. The distance to the lowest polymorph of the same formula comes out at 367.3 meV per atom. The uncorrected formation energy comes out at 7.867 eV/f.u. Its total DFT energy (no corrections) is -20.211 eV/cell.

=====

[4]
Here is CuNiI2N after structural relaxation from Alexandria. Energies are from PBE.

extended XYZ file:
```
5
Lattice="5.4968 0.0000 0.0000 0.0000 5.4968 0.0000 0.0000 0.0000 3.6471" Properties=species:S:1:pos:R:3 pbc="T T T"
Cu 0.0000 0.0000 0.0000
Ni 2.7484 2.7484 1.8236
I 0.0000 2.7484 0.0000
I 2.7484 0.0000 0.0000
N 0.0000 0.0000 1.8236
```

## Properties
The calculated volume is 110 Å³/cell. As for the spin magnetization: 3.202 μB per formula unit. The distance to the lowest polymorph of the same formula comes out at 351.9 meV per atom. The uncorrected formation energy comes out at 5.331 eV/f.u. Its total DFT energy (no corrections) is -15.972 eV/cell.